Computed, not measured: a relaxed K2TlCuCl6 crystal at the PBE-GGA level of DFT.

Calculated values
The calculation puts the uncorrected formation energy at -11.58 eV/f.u. As for the symmetry: Fm-3m, No. 225. As for the density of states at the Fermi level: 3.0 states/eV per cell. As for the energy relative to the lowest polymorph listed for this composition: 0.014 eV/atom.

a b c (Å): 7.2881 7.2881 7.2881
angles (deg): 60.00 60.00 60.00
Atoms (fractional coordinates):
Cl  0.7375  0.2625  0.2625
Cl  0.7375  0.7375  0.2625
Cl  0.2625  0.2625  0.7375
Cl  0.2625  0.7375  0.7375
Cu  0.5000  0.5000  0.5000
K  0.2500  0.2500  0.2500
Tl  0.0000  0.0000  0.0000
Cl  0.2625  0.7375  0.2625
Cl  0.7375  0.2625  0.7375
K  0.7500  0.7500  0.7500